(1)
DFT (PBE-GGA) results for crystalline TbY2Ag4Sn4 at its relaxed geometry.

Output
* total magnetic moment: 0.09 μB/cell
* raw total energy: -4.58 eV/atom

Geometry as CIF:
```
data_TbY2Ag4Sn4
_chemical_formula_sum 'Tb2 Y4 Ag8 Sn8'
_cell_length_a 4.5699
_cell_length_b 7.3753
_cell_length_c 15.2939
_cell_angle_alpha 90.00
_cell_angle_beta 90.00
_cell_angle_gamma 90.00
_space_group_name_H-M_alt 'I m m m'
_space_group_IT_number 71
_space_group_name_Hall '-I 2 2'
loop_
_atom_site_label
_atom_site_fract_x
_atom_site_fract_y
_atom_site_fract_z
Tb1 0.0000 0.0000 0.0000
Y1 0.0000 0.5000 0.1278
Ag1 0.0000 0.3016 0.3288
Sn1 0.0000 0.0000 0.2147
Sn2 0.0000 0.1961 0.5000
```


(2)
DFT (PBE-GGA) results for crystalline TcAgSn at its relaxed geometry.

Output
* polymorph energy (0 for the lowest one): 0 meV/atom
* total magnetic moment: 4.78 μB/cell

Geometry as CIF:
```
data_TcAgSn
_chemical_formula_sum 'Tc4 Ag4 Sn4'
_cell_length_a 6.3408
_cell_length_b 6.3408
_cell_length_c 6.3408
_cell_angle_alpha 90.00
_cell_angle_beta 90.00
_cell_angle_gamma 90.00
_space_group_name_H-M_alt 'F -4 3 m'
_space_group_IT_number 216
_space_group_name_Hall 'F -4 2 3'
loop_
_atom_site_label
_atom_site_fract_x
_atom_site_fract_y
_atom_site_fract_z
Tc1 0.0000 0.0000 0.0000
Ag1 0.2500 0.2500 0.7500
Sn1 0.2500 0.2500 0.2500
```


(3)
DFT (PBE-GGA) results for crystalline Ag3SnTe4 at its relaxed geometry.

Output
* raw total energy: -3.25 eV/atom

Geometry as CIF:
```
data_Ag3SnTe4
_chemical_formula_sum 'Ag6 Sn2 Te8'
_cell_length_a 6.4008
_cell_length_b 6.4008
_cell_length_c 12.8296
_cell_angle_alpha 90.00
_cell_angle_beta 90.00
_cell_angle_gamma 90.00
_space_group_name_H-M_alt 'I -4 2 m'
_space_group_IT_number 121
_space_group_name_Hall 'I -4 2'
loop_
_atom_site_label
_atom_site_fract_x
_atom_site_fract_y
_atom_site_fract_z
Ag1 0.0000 0.0000 0.0000
Ag2 0.0000 0.5000 0.2500
Sn1 0.0000 0.0000 0.5000
Te1 0.2471 0.2471 0.1274
```


(4)
DFT (PBE-GGA) results for crystalline AgSn2Te at its relaxed geometry.

Output
* raw total energy: -3.34 eV/atom

Geometry as CIF:
```
data_AgSn2Te
_chemical_formula_sum 'Ag4 Sn8 Te4'
_cell_length_a 7.4510
_cell_length_b 7.4510
_cell_length_c 7.4510
_cell_angle_alpha 90.00
_cell_angle_beta 90.00
_cell_angle_gamma 90.00
_space_group_name_H-M_alt 'F -4 3 m'
_space_group_IT_number 216
_space_group_name_Hall 'F -4 2 3'
loop_
_atom_site_label
_atom_site_fract_x
_atom_site_fract_y
_atom_site_fract_z
Ag1 0.0000 0.0000 0.0000
Sn1 0.0000 0.0000 0.5000
Sn2 0.2500 0.2500 0.2500
Te1 0.2500 0.2500 0.7500
```


(5)
DFT (PBE-GGA) results for crystalline TmAgSnTe3 at its relaxed geometry.

Output
* polymorph energy (0 for the lowest one): 0 meV/atom
* total magnetic moment: 0.00 μB/cell

Geometry as CIF:
```
data_TmAgSnTe3
_chemical_formula_sum 'Tm4 Ag4 Sn4 Te12'
_cell_length_a 4.2925
_cell_length_b 14.6641
_cell_length_c 11.0666
_cell_angle_alpha 90.00
_cell_angle_beta 90.00
_cell_angle_gamma 90.00
_space_group_name_H-M_alt 'C m c m'
_space_group_IT_number 63
_space_group_name_Hall '-C 2c 2'
loop_
_atom_site_label
_atom_site_fract_x
_atom_site_fract_y
_atom_site_fract_z
Tm1 0.0000 0.0000 0.0000
Ag1 0.0000 0.4717 0.2500
Sn1 0.0000 0.2290 0.7500
Te1 0.0000 0.0966 0.2500
Te2 0.0000 0.3536 0.0525
```


(6)
DFT (PBE-GGA) results for crystalline TmAgSnTe3 at its relaxed geometry.

Output
* polymorph energy (0 for the lowest one): 57 meV/atom
* total magnetic moment: 0.01 μB/cell

Geometry as CIF:
```
data_TmAgSnTe3
_chemical_formula_sum 'Tm4 Ag4 Sn4 Te12'
_cell_length_a 12.6085
_cell_length_b 4.4404
_cell_length_c 12.6002
_cell_angle_alpha 90.00
_cell_angle_beta 90.00
_cell_angle_gamma 90.00
_space_group_name_H-M_alt 'P n m a'
_space_group_IT_number 62
_space_group_name_Hall '-P 2ac 2n'
loop_
_atom_site_label
_atom_site_fract_x
_atom_site_fract_y
_atom_site_fract_z
Tm1 0.0277 0.2500 0.1860
Ag1 0.2365 0.7500 0.3037
Sn1 0.1846 0.2500 0.4872
Te1 0.0239 0.7500 0.3635
Te2 0.0887 0.2500 0.9354
Te3 0.2279 0.7500 0.6684
```


(7)
DFT (PBE-GGA) results for crystalline YAgSnTe3 at its relaxed geometry.

Output
* polymorph energy (0 for the lowest one): 0 meV/atom
* total magnetic moment: 0.02 μB/cell

Geometry as CIF:
```
data_YAgSnTe3
_chemical_formula_sum 'Y4 Ag4 Sn4 Te12'
_cell_length_a 14.4867
_cell_length_b 4.3196
_cell_length_c 11.5966
_cell_angle_alpha 90.00
_cell_angle_beta 90.00
_cell_angle_gamma 90.00
_space_group_name_H-M_alt 'P n m a'
_space_group_IT_number 62
_space_group_name_Hall '-P 2ac 2n'
loop_
_atom_site_label
_atom_site_fract_x
_atom_site_fract_y
_atom_site_fract_z
Y1 0.0092 0.2500 0.1757
Ag1 0.0072 0.7500 0.4123
Sn1 0.2187 0.2500 0.4461
Te1 0.1126 0.2500 0.9408
Te2 0.1247 0.7500 0.6196
Te3 0.1513 0.7500 0.2473
```


(8)
DFT (PBE-GGA) results for crystalline YAgSnTe3 at its relaxed geometry.

Output
* polymorph energy (0 for the lowest one): 6 meV/atom
* total magnetic moment: 0.02 μB/cell

Geometry as CIF:
```
data_YAgSnTe3
_chemical_formula_sum 'Y4 Ag4 Sn4 Te12'
_cell_length_a 11.2227
_cell_length_b 4.3408
_cell_length_c 14.5994
_cell_angle_alpha 90.00
_cell_angle_beta 90.00
_cell_angle_gamma 90.00
_space_group_name_H-M_alt 'P n m a'
_space_group_IT_number 62
_space_group_name_Hall '-P 2ac 2n'
loop_
_atom_site_label
_atom_site_fract_x
_atom_site_fract_y
_atom_site_fract_z
Y1 0.0205 0.2500 0.2423
Ag1 0.2391 0.2500 0.7240
Sn1 0.2171 0.7500 0.5134
Te1 0.0371 0.2500 0.6071
Te2 0.0765 0.7500 0.0983
Te3 0.2342 0.7500 0.8483
```


(9)
DFT (PBE-GGA) results for crystalline YAgSnTe3 at its relaxed geometry.

Output
* polymorph energy (0 for the lowest one): 45 meV/atom
* total magnetic moment: 0.00 μB/cell

Geometry as CIF:
```
data_YAgSnTe3
_chemical_formula_sum 'Y4 Ag4 Sn4 Te12'
_cell_length_a 9.1119
_cell_length_b 4.5197
_cell_length_c 18.0986
_cell_angle_alpha 90.00
_cell_angle_beta 90.00
_cell_angle_gamma 90.00
_space_group_name_H-M_alt 'P n m a'
_space_group_IT_number 62
_space_group_name_Hall '-P 2ac 2n'
loop_
_atom_site_label
_atom_site_fract_x
_atom_site_fract_y
_atom_site_fract_z
Y1 0.2299 0.2500 0.0366
Ag1 0.1217 0.2500 0.3623
Sn1 0.0918 0.2500 0.7506
Te1 0.0347 0.2500 0.5845
Te2 0.1144 0.7500 0.9387
Te3 0.1919 0.2500 0.2112
```


(10)
DFT (PBE-GGA) results for crystalline YAgSnTe3 at its relaxed geometry.

Output
* polymorph energy (0 for the lowest one): 7 meV/atom
* total magnetic moment: 0.01 μB/cell

Geometry as CIF:
```
data_YAgSnTe3
_chemical_formula_sum 'Y2 Ag2 Sn2 Te6'
_cell_length_a 8.2615
_cell_length_b 4.3301
_cell_length_c 10.6410
_cell_angle_alpha 90.00
_cell_angle_beta 106.34
_cell_angle_gamma 90.00
_space_group_name_H-M_alt 'P 1 21/m 1'
_space_group_IT_number 11
_space_group_name_Hall '-P 2yb'
loop_
_atom_site_label
_atom_site_fract_x
_atom_site_fract_y
_atom_site_fract_z
Y1 0.1985 0.2500 0.1696
Ag1 0.4123 0.7500 0.4100
Sn1 0.2324 0.7500 0.7012
Te1 0.0793 0.2500 0.8646
Te2 0.2071 0.2500 0.4645
Te3 0.4570 0.7500 0.1595
```


(11)
DFT (PBE-GGA) results for crystalline YAgSnTe3 at its relaxed geometry.

Output
* polymorph energy (0 for the lowest one): 61 meV/atom
* total magnetic moment: 0.02 μB/cell

Geometry as CIF:
```
data_YAgSnTe3
_chemical_formula_sum 'Y4 Ag4 Sn4 Te12'
_cell_length_a 12.4442
_cell_length_b 4.4981
_cell_length_c 12.5803
_cell_angle_alpha 90.00
_cell_angle_beta 90.00
_cell_angle_gamma 90.00
_space_group_name_H-M_alt 'P n m a'
_space_group_IT_number 62
_space_group_name_Hall '-P 2ac 2n'
loop_
_atom_site_label
_atom_site_fract_x
_atom_site_fract_y
_atom_site_fract_z
Y1 0.0255 0.2500 0.1902
Ag1 0.2359 0.7500 0.2939
Sn1 0.1898 0.2500 0.4810
Te1 0.0265 0.7500 0.3692
Te2 0.0922 0.2500 0.9379
Te3 0.2172 0.7500 0.6685
```


(12)
DFT (PBE-GGA) results for crystalline YAgSnTe3 at its relaxed geometry.

Output
* polymorph energy (0 for the lowest one): 60 meV/atom
* total magnetic moment: 0.02 μB/cell

Geometry as CIF:
```
data_YAgSnTe3
_chemical_formula_sum 'Y4 Ag4 Sn4 Te12'
_cell_length_a 12.5019
_cell_length_b 4.4997
_cell_length_c 12.6141
_cell_angle_alpha 90.00
_cell_angle_beta 90.00
_cell_angle_gamma 90.00
_space_group_name_H-M_alt 'P n m a'
_space_group_IT_number 62
_space_group_name_Hall '-P 2ac 2n'
loop_
_atom_site_label
_atom_site_fract_x
_atom_site_fract_y
_atom_site_fract_z
Y1 0.0227 0.2500 0.1890
Ag1 0.2364 0.7500 0.2985
Sn1 0.1836 0.2500 0.4889
Te1 0.0258 0.7500 0.3685
Te2 0.0917 0.2500 0.9383
Te3 0.2205 0.7500 0.6707
```


(13)
DFT (PBE-GGA) results for crystalline YAgSnTe3 at its relaxed geometry.

Output
* polymorph energy (0 for the lowest one): 22 meV/atom
* total magnetic moment: 0.07 μB/cell

Geometry as CIF:
```
data_YAgSnTe3
_chemical_formula_sum 'Y4 Ag4 Sn4 Te12'
_cell_length_a 19.4665
_cell_length_b 4.2989
_cell_length_c 8.9536
_cell_angle_alpha 90.00
_cell_angle_beta 102.20
_cell_angle_gamma 90.00
_space_group_name_H-M_alt 'C 1 2/m 1'
_space_group_IT_number 12
_space_group_name_Hall '-C 2y'
loop_
_atom_site_label
_atom_site_fract_x
_atom_site_fract_y
_atom_site_fract_z
Y1 0.1633 0.0000 0.0889
Ag1 0.0420 0.5000 0.2139
Sn1 0.1280 0.0000 0.5704
Te1 0.0000 0.0000 0.0000
Te2 0.0000 0.5000 0.5000
Te3 0.1732 0.5000 0.8474
Te4 0.1872 0.5000 0.3425
```


(14)
DFT (PBE-GGA) results for crystalline YAgSnTe3 at its relaxed geometry.

Output
* polymorph energy (0 for the lowest one): 10 meV/atom
* total magnetic moment: 0.01 μB/cell

Geometry as CIF:
```
data_YAgSnTe3
_chemical_formula_sum 'Y4 Ag4 Sn4 Te12'
_cell_length_a 4.3110
_cell_length_b 14.7056
_cell_length_c 11.1835
_cell_angle_alpha 90.00
_cell_angle_beta 90.00
_cell_angle_gamma 90.00
_space_group_name_H-M_alt 'C m c m'
_space_group_IT_number 63
_space_group_name_Hall '-C 2c 2'
loop_
_atom_site_label
_atom_site_fract_x
_atom_site_fract_y
_atom_site_fract_z
Y1 0.0000 0.0000 0.0000
Ag1 0.0000 0.4719 0.2500
Sn1 0.0000 0.2303 0.7500
Te1 0.0000 0.0971 0.2500
Te2 0.0000 0.3521 0.0555
```


(15)
DFT (PBE-GGA) results for crystalline TmAg6Sn at its relaxed geometry.

Output
* total magnetic moment: 0.01 μB/cell
* raw total energy: -3.28 eV/atom

Geometry as CIF:
```
data_TmAg6Sn
_chemical_formula_sum 'Tm1 Ag6 Sn1'
_cell_length_a 4.9649
_cell_length_b 5.9813
_cell_length_c 5.2335
_cell_angle_alpha 90.00
_cell_angle_beta 90.00
_cell_angle_gamma 90.00
_space_group_name_H-M_alt 'P m m 2'
_space_group_IT_number 25
_space_group_name_Hall 'P 2 -2'
loop_
_atom_site_label
_atom_site_fract_x
_atom_site_fract_y
_atom_site_fract_z
Tm1 0.0000 0.0000 0.0000
Ag1 0.0000 0.2540 0.5000
Ag2 0.0000 0.5000 0.0141
Ag3 0.5000 0.0000 0.6653
Ag4 0.5000 0.2486 0.1829
Sn1 0.5000 0.5000 0.6924
```


(16)
DFT (PBE-GGA) results for crystalline YTmAg2Sn2 at its relaxed geometry.

Output
* total magnetic moment: 0.02 μB/cell
* raw total energy: -4.68 eV/atom

Geometry as CIF:
```
data_YTmAg2Sn2
_chemical_formula_sum 'Y1 Tm1 Ag2 Sn2'
_cell_length_a 4.7208
_cell_length_b 4.7208
_cell_length_c 7.2957
_cell_angle_alpha 90.00
_cell_angle_beta 90.00
_cell_angle_gamma 120.00
_space_group_name_H-M_alt 'P 3 m 1'
_space_group_IT_number 156
_space_group_name_Hall 'P 3 -2"'
loop_
_atom_site_label
_atom_site_fract_x
_atom_site_fract_y
_atom_site_fract_z
Y1 0.0000 0.0000 0.0000
Tm1 0.0000 0.0000 0.5006
Ag1 0.3333 0.6667 0.1916
Ag2 0.6667 0.3333 0.6881
Sn1 0.3333 0.6667 0.7783
Sn2 0.6667 0.3333 0.2811
```


(17)
DFT (PBE-GGA) results for crystalline AgSnW at its relaxed geometry.

Output
* polymorph energy (0 for the lowest one): 0 meV/atom
* total magnetic moment: 6.98 μB/cell

Geometry as CIF:
```
data_AgSnW
_chemical_formula_sum 'Ag4 Sn4 W4'
_cell_length_a 6.4634
_cell_length_b 6.4634
_cell_length_c 6.4634
_cell_angle_alpha 90.00
_cell_angle_beta 90.00
_cell_angle_gamma 90.00
_space_group_name_H-M_alt 'F -4 3 m'
_space_group_IT_number 216
_space_group_name_Hall 'F -4 2 3'
loop_
_atom_site_label
_atom_site_fract_x
_atom_site_fract_y
_atom_site_fract_z
Ag1 0.0000 0.0000 0.0000
Sn1 0.0000 0.0000 0.5000
W1 0.2500 0.2500 0.2500
```


(18)
DFT (PBE-GGA) results for crystalline AgSn2W at its relaxed geometry.

Output
* total magnetic moment: 1.72 μB/cell
* raw total energy: -5.04 eV/atom

Geometry as CIF:
```
data_AgSn2W
_chemical_formula_sum 'Ag4 Sn8 W4'
_cell_length_a 6.9013
_cell_length_b 6.9013
_cell_length_c 6.9013
_cell_angle_alpha 90.00
_cell_angle_beta 90.00
_cell_angle_gamma 90.00
_space_group_name_H-M_alt 'F -4 3 m'
_space_group_IT_number 216
_space_group_name_Hall 'F -4 2 3'
loop_
_atom_site_label
_atom_site_fract_x
_atom_site_fract_y
_atom_site_fract_z
Ag1 0.0000 0.0000 0.0000
Sn1 0.0000 0.0000 0.5000
Sn2 0.2500 0.2500 0.2500
W1 0.2500 0.2500 0.7500
```


(19)
DFT (PBE-GGA) results for crystalline AgSn5W3 at its relaxed geometry.

Output
* total magnetic moment: 0.01 μB/cell
* raw total energy: -6.46 eV/atom

Geometry as CIF:
```
data_AgSn5W3
_chemical_formula_sum 'Ag1 Sn5 W3'
_cell_length_a 5.5196
_cell_length_b 5.5196
_cell_length_c 8.1646
_cell_angle_alpha 90.00
_cell_angle_beta 90.00
_cell_angle_gamma 120.00
_space_group_name_H-M_alt 'P 6/m m m'
_space_group_IT_number 191
_space_group_name_Hall '-P 6 2'
loop_
_atom_site_label
_atom_site_fract_x
_atom_site_fract_y
_atom_site_fract_z
Ag1 0.0000 0.0000 0.0000
Sn1 0.0000 0.0000 0.5000
Sn2 0.3333 0.6667 0.1977
W1 0.0000 0.5000 0.5000
```


(20)
DFT (PBE-GGA) results for crystalline AgSnW2 at its relaxed geometry.

Output
* total magnetic moment: 0.05 μB/cell
* raw total energy: -7.49 eV/atom

Geometry as CIF:
```
data_AgSnW2
_chemical_formula_sum 'Ag4 Sn4 W8'
_cell_length_a 6.5568
_cell_length_b 6.5568
_cell_length_c 6.5568
_cell_angle_alpha 90.00
_cell_angle_beta 90.00
_cell_angle_gamma 90.00
_space_group_name_H-M_alt 'F -4 3 m'
_space_group_IT_number 216
_space_group_name_Hall 'F -4 2 3'
loop_
_atom_site_label
_atom_site_fract_x
_atom_site_fract_y
_atom_site_fract_z
Ag1 0.0000 0.0000 0.0000
Sn1 0.2500 0.2500 0.7500
W1 0.0000 0.0000 0.5000
W2 0.2500 0.2500 0.2500
```